# 1
## La3MgIn (PBE-GGA)

Data for an optimized crystal structure of La3MgIn.

D(E_F) ... 11.45 states/eV/cell
Calculated formation energy ... -0.208 eV/atom

a b c (Å): 3.6891 8.7373 10.8452
angles (deg): 69.36 89.98 77.87
Fractional positions:
1 La 0.0725 0.3554 0.4215
2 La 0.1487 0.2017 0.0212
3 La 0.2612 0.9752 0.6568
4 La 0.7388 0.0248 0.3432
5 La 0.8513 0.7983 0.9788
6 La 0.9275 0.6446 0.5785
7 Mg 0.3858 0.7288 0.2701
8 Mg 0.6142 0.2712 0.7299
9 In 0.4719 0.5552 0.8519
10 In 0.5281 0.4448 0.1481

***

# 2
## ScCu2TeI (PBE-GGA)

Data for an optimized crystal structure of ScCu2TeI.

D(E_F) ... 6.91 states/eV/cell
E_form (uncorrected) ... 0.6388 eV per atom

a b c (Å): 5.1776 5.1776 5.4922
angles (deg): 90.00 90.00 90.00
Fractional positions:
1 Sc 0.0000 0.0000 0.0000
2 Cu 0.0000 0.5000 0.0000
3 Cu 0.5000 0.0000 0.0000
4 Te 0.0000 0.0000 0.5000
5 I 0.5000 0.5000 0.5000

***

# 3
## LaYPd2 (PBE-GGA)

Data for an optimized crystal structure of LaYPd2.

D(E_F) ... 2.55 states/eV/cell
Calculated formation energy ... -0.739 eV/atom

a b c (Å): 7.2160 7.2160 7.2160
angles (deg): 33.75 33.75 33.75
Fractional positions:
1 La 0.0000 0.0000 0.0000
2 Y 0.5000 0.5000 0.5000
3 Pd 0.2461 0.2461 0.2461
4 Pd 0.7539 0.7539 0.7539

***

# 4
## Ba7Br2Cl12 (PBE-GGA)

Data for an optimized crystal structure of Ba7Br2Cl12.

D(E_F) ... 0.00 states/eV/cell
E_form (uncorrected) ... -2.4727 eV per atom

a b c (Å): 12.6617 12.6617 4.8354
angles (deg): 90.00 90.00 120.00
Fractional positions:
1 Ba 0.0000 0.0000 0.0000
2 Ba 0.1236 0.4100 0.5000
3 Ba 0.2865 0.8764 0.5000
4 Ba 0.4181 0.2964 0.0000
5 Ba 0.5900 0.7135 0.5000
6 Ba 0.7036 0.1217 0.0000
7 Ba 0.8783 0.5819 0.0000
8 Br 0.3333 0.6667 0.0000
9 Br 0.6667 0.3333 0.5000
10 Cl 0.0491 0.6101 0.5000
11 Cl 0.1156 0.8369 0.0000
12 Cl 0.1631 0.2788 0.0000
13 Cl 0.2200 0.0939 0.5000
14 Cl 0.3899 0.4390 0.5000
15 Cl 0.4316 0.0599 0.0000
16 Cl 0.5610 0.9509 0.5000
17 Cl 0.6283 0.5684 0.0000
18 Cl 0.7212 0.8844 0.0000
19 Cl 0.8739 0.7800 0.5000
20 Cl 0.9061 0.1261 0.5000
21 Cl 0.9401 0.3717 0.0000

***

# 5
## Zn3Cu2Rh2 (PBE-GGA)

Data for an optimized crystal structure of Zn3Cu2Rh2.

D(E_F) ... 3.32 states/eV/cell
Calculated formation energy ... -0.231 eV/atom

a b c (Å): 4.2155 4.2155 6.5925
angles (deg): 108.38 108.38 59.91
Fractional positions:
1 Zn 0.0000 0.0000 0.0000
2 Zn 0.4276 0.4276 0.2874
3 Zn 0.5724 0.5724 0.7126
4 Cu 0.1394 0.1394 0.4198
5 Cu 0.8606 0.8606 0.5802
6 Rh 0.2848 0.2848 0.8529
7 Rh 0.7152 0.7152 0.1471

***

# 6
## BaCa2MgTl4 (PBE-GGA)

Data for an optimized crystal structure of BaCa2MgTl4.

D(E_F) ... 4.03 states/eV/cell
Calculated formation energy ... -0.329 eV/atom

a b c (Å): 10.5946 10.5946 10.5946
angles (deg): 29.55 29.55 29.55
Fractional positions:
1 Ba 0.0000 0.0000 0.0000
2 Ca 0.2323 0.2323 0.2323
3 Ca 0.7677 0.7677 0.7677
4 Mg 0.5000 0.5000 0.5000
5 Tl 0.1230 0.1230 0.1230
6 Tl 0.3966 0.3966 0.3966
7 Tl 0.6034 0.6034 0.6034
8 Tl 0.8770 0.8770 0.8770

***

# 7
## Tc2AsAu (PBE-GGA)

Data for an optimized crystal structure of Tc2AsAu.

D(E_F) ... 4.31 states/eV/cell
Calculated formation energy ... 0.505 eV/atom

a b c (Å): 5.1605 5.1605 2.9727
angles (deg): 102.18 102.18 117.23
Fractional positions:
1 Tc 0.0000 0.5000 0.0000
2 Tc 0.5000 0.0000 0.0000
3 As 0.0000 0.0000 0.5000
4 Au 0.5000 0.5000 0.5000

***

# 8
## PmReO6 (PBE-GGA)

Data for an optimized crystal structure of PmReO6.

D(E_F) ... 3.56 states/eV/cell
E_form (uncorrected) ... -1.6743 eV per atom

a b c (Å): 5.9686 5.9686 5.9686
angles (deg): 60.00 60.00 60.00
Fractional positions:
1 Pm 0.0000 0.0000 0.0000
2 Re 0.5000 0.5000 0.5000
3 O 0.2778 0.2778 0.7222
4 O 0.2778 0.7222 0.2778
5 O 0.2778 0.7222 0.7222
6 O 0.7222 0.2778 0.2778
7 O 0.7222 0.2778 0.7222
8 O 0.7222 0.7222 0.2778

***

# 9
## Sc2AgRh (PBE-GGA)

Data for an optimized crystal structure of Sc2AgRh.

D(E_F) ... 2.93 states/eV/cell
Calculated formation energy ... -0.598 eV/atom

a b c (Å): 4.6872 4.6872 3.3530
angles (deg): 90.00 90.00 90.00
Fractional positions:
1 Sc 0.0000 0.5000 0.0000
2 Sc 0.5000 0.0000 0.0000
3 Ag 0.0000 0.0000 0.5000
4 Rh 0.5000 0.5000 0.5000

***

# 10
## TbY4Sc4 (PBE-GGA)

Data for an optimized crystal structure of TbY4Sc4.

D(E_F) ... 15.42 states/eV/cell
Calculated formation energy ... 0.061 eV/atom

a b c (Å): 7.6863 7.6863 7.6793
angles (deg): 107.45 107.45 36.80
Fractional positions:
1 Tb 0.0000 0.0000 0.0000
2 Y 0.2228 0.2228 0.3389
3 Y 0.3353 0.3353 0.0009
4 Y 0.6647 0.6647 0.9991
5 Y 0.7772 0.7772 0.6611
6 Sc 0.1053 0.1053 0.6604
7 Sc 0.4470 0.4470 0.6573
8 Sc 0.5530 0.5530 0.3427
9 Sc 0.8947 0.8947 0.3396

***

# 11
## PuInRuPt (PBE-GGA)

Data for an optimized crystal structure of PuInRuPt.

D(E_F) ... 7.06 states/eV/cell
Calculated formation energy ... -0.328 eV/atom

a b c (Å): 4.7562 4.7562 4.7562
angles (deg): 60.00 60.00 60.00
Fractional positions:
1 Pu 0.0000 0.0000 0.0000
2 In 0.5000 0.5000 0.5000
3 Ru 0.2500 0.2500 0.2500
4 Pt 0.7500 0.7500 0.7500

***

# 12
## ZrTaIn2 (PBE-GGA)

Data for an optimized crystal structure of ZrTaIn2.

D(E_F) ... 3.61 states/eV/cell
Calculated formation energy ... 0.131 eV/atom

a b c (Å): 3.7257 3.7257 6.0680
angles (deg): 90.00 90.00 90.00
Fractional positions:
1 Zr 0.0000 0.0000 0.0000
2 Ta 0.0000 0.0000 0.5000
3 In 0.5000 0.5000 0.2596
4 In 0.5000 0.5000 0.7404